Model a:
# NdZr2Ga

A geometry-optimized NdZr2Ga structure (PBE-GGA, Alexandria via LeMat-Bulk).

Properties
D(E_F): 0.70 states/eV/atom
density: 7.2 g/cm³

a b c (Å): 4.5337 4.5337 4.4770
angles (deg): 90.00 90.00 90.00
Closest atoms and distances in Å follow each position.
Sites, in units of the cell vectors:
Nd1 0.0000 0.0000 0.0000  8 Zr 3.19, 4 Ga 3.21
Zr1 0.0000 0.5000 0.5000  4 Nd 3.19, 4 Ga 3.19, 4 Zr 3.21
Zr2 0.5000 0.0000 0.5000  4 Nd 3.19, 4 Ga 3.19, 4 Zr 3.21
Ga1 0.5000 0.5000 0.0000  8 Zr 3.19, 4 Nd 3.21

Model b:
# NdZr2Ga

A geometry-optimized NdZr2Ga structure (PBE-GGA, Alexandria via LeMat-Bulk).

Properties
D(E_F): 1.51 states/eV/atom
density: 6.8 g/cm³

a b c (Å): 3.2013 3.2013 32.7362
angles (deg): 90.00 90.00 120.00
Closest atoms and distances in Å follow each position.
Sites, in units of the cell vectors:
Nd1 0.0000 0.0000 0.0000  2 Zr 3.17, 6 Nd 3.20
Nd2 0.3333 0.6667 0.6667  2 Zr 3.17, 6 Nd 3.20
Nd3 0.6667 0.3333 0.3333  2 Zr 3.17, 6 Nd 3.20
Zr1 0.0000 0.0000 0.0969  3 Ga 2.94, 1 Nd 3.17, 6 Zr 3.20
Zr2 0.0000 0.0000 0.9031  3 Ga 2.94, 1 Nd 3.17, 6 Zr 3.20
Zr3 0.3333 0.6667 0.5698  3 Ga 2.94, 1 Nd 3.17, 6 Zr 3.20
Zr4 0.3333 0.6667 0.7636  3 Ga 2.94, 1 Nd 3.17, 6 Zr 3.20
Zr5 0.6667 0.3333 0.2364  3 Ga 2.94, 1 Nd 3.17, 6 Zr 3.20
Zr6 0.6667 0.3333 0.4302  3 Ga 2.94, 1 Nd 3.17, 6 Zr 3.20
Ga1 0.0000 0.0000 0.5000  6 Zr 2.94, 6 Ga 3.20
Ga2 0.3333 0.6667 0.1667  6 Zr 2.94, 6 Ga 3.20
Ga3 0.6667 0.3333 0.8333  6 Zr 2.94, 6 Ga 3.20

Stability summary - winner: model a; margin: 294 meV per atom.

Model a:
# Ga2Ni5

A geometry-optimized Ga2Ni5 structure (PBE-GGA, Alexandria via LeMat-Bulk).

Properties
D(E_F): 1.07 states/eV/atom
density: 8.4 g/cm³

a b c (Å): 14.0498 14.0498 3.5189
angles (deg): 90.00 90.00 165.73
Closest atoms and distances in Å follow each position.
Sites, in units of the cell vectors:
Ga1 0.0935 0.9065 0.7500  9 Ni 2.37-2.49
Ga2 0.3113 0.6887 0.7500  9 Ni 2.40-2.49
Ga3 0.6887 0.3113 0.2500  9 Ni 2.40-2.49
Ga4 0.9065 0.0935 0.2500  9 Ni 2.37-2.49
Ni1 0.0322 0.9678 0.2500  2 Ga 2.45, 10 Ni 2.48-2.63
Ni2 0.1784 0.8216 0.7500  5 Ga 2.37-2.49, 2 Ni 2.65
Ni3 0.2500 0.7500 0.2500  4 Ga 2.44-2.45, 8 Ni 2.48-2.66
Ni4 0.3973 0.6027 0.7500  5 Ga 2.40-2.49, 4 Ni 2.63-2.65
Ni5 0.4686 0.5314 0.2500  2 Ga 2.46, 10 Ni 2.48-2.65
Ni6 0.5314 0.4686 0.7500  2 Ga 2.46, 10 Ni 2.48-2.65
Ni7 0.6027 0.3973 0.2500  5 Ga 2.40-2.49, 4 Ni 2.63-2.65
Ni8 0.7500 0.2500 0.7500  4 Ga 2.44-2.45, 8 Ni 2.48-2.66
Ni9 0.8216 0.1784 0.2500  5 Ga 2.37-2.49, 2 Ni 2.65
Ni10 0.9678 0.0322 0.7500  2 Ga 2.45, 10 Ni 2.48-2.63

Model b:
# Ga2Ni5

A geometry-optimized Ga2Ni5 structure (PBE-GGA, Alexandria via LeMat-Bulk).

Properties
D(E_F): 0.88 states/eV/atom
density: 8.8 g/cm³

a b c (Å): 6.1222 6.1222 6.6545
angles (deg): 94.24 94.24 41.08
Closest atoms and distances in Å follow each position.
Sites, in units of the cell vectors:
Ga1 0.1095 0.7277 0.8963  10 Ni 2.43-2.61
Ga2 0.2723 0.8905 0.6037  10 Ni 2.43-2.61
Ga3 0.7277 0.1095 0.3963  10 Ni 2.43-2.61
Ga4 0.8905 0.2723 0.1037  10 Ni 2.43-2.61
Ni1 0.0390 0.3898 0.8177  3 Ga 2.43-2.55, 9 Ni 2.49-2.63
Ni2 0.1754 0.5420 0.5397  4 Ga 2.44-2.61, 8 Ni 2.49-2.63
Ni3 0.3099 0.6901 0.2500  6 Ga 2.51-2.57, 6 Ni 2.53-2.61
Ni4 0.3898 0.0390 0.3177  3 Ga 2.43-2.55, 9 Ni 2.49-2.63
Ni5 0.4580 0.8246 0.9603  4 Ga 2.44-2.61, 8 Ni 2.49-2.63
Ni6 0.5420 0.1754 0.0397  4 Ga 2.44-2.61, 8 Ni 2.49-2.63
Ni7 0.6102 0.9610 0.6823  3 Ga 2.43-2.55, 9 Ni 2.49-2.63
Ni8 0.6901 0.3099 0.7500  6 Ga 2.51-2.57, 6 Ni 2.53-2.61
Ni9 0.8246 0.4580 0.4603  4 Ga 2.44-2.61, 8 Ni 2.49-2.63
Ni10 0.9610 0.6102 0.1823  3 Ga 2.43-2.55, 9 Ni 2.49-2.63

Stability summary - winner: model b; margin: 74 meV per atom.

Model a:
# Ga4Ni

A geometry-optimized Ga4Ni structure (PBE-GGA, Alexandria via LeMat-Bulk).

Properties
D(E_F): 0.16 states/eV/atom
density: 6.6 g/cm³

a b c (Å): 5.4213 5.4213 5.8023
angles (deg): 90.00 90.00 90.00
Closest atoms and distances in Å follow each position.
Sites, in units of the cell vectors:
Ga1 0.2100 0.2100 0.3250  2 Ni 2.44-2.48
Ga2 0.2100 0.7900 0.6750  2 Ni 2.44-2.48
Ga3 0.2900 0.2900 0.8250  2 Ni 2.44-2.48
Ga4 0.2900 0.7100 0.1750  2 Ni 2.44-2.48
Ga5 0.7100 0.2900 0.1750  2 Ni 2.44-2.48
Ga6 0.7100 0.7100 0.8250  2 Ni 2.44-2.48
Ga7 0.7900 0.2100 0.6750  2 Ni 2.44-2.48
Ga8 0.7900 0.7900 0.3250  2 Ni 2.44-2.48
Ni1 0.0000 0.0000 0.0000  8 Ga 2.44-2.48
Ni2 0.5000 0.5000 0.5000  8 Ga 2.44-2.48

Model b:
# Ga4Ni

A geometry-optimized Ga4Ni structure (PBE-GGA, Alexandria via LeMat-Bulk).

Properties
D(E_F): 0.42 states/eV/atom
density: 6.8 g/cm³

a b c (Å): 8.6520 8.6520 8.5030
angles (deg): 117.70 117.70 84.18
Closest atoms and distances in Å follow each position.
Sites, in units of the cell vectors:
Ga1 0.0000 0.5000 0.5000  2 Ni 2.47, 2 Ga 2.68
Ga2 0.0072 0.5620 0.1846  2 Ni 2.47-2.52, 1 Ga 2.75
Ga3 0.0614 0.8605 0.0448  2 Ni 2.46-2.52
Ga4 0.1395 0.9386 0.4552  2 Ni 2.46-2.52
Ga5 0.1441 0.8559 0.7500  2 Ni 2.48, 2 Ga 2.76
Ga6 0.2079 0.2867 0.3675  2 Ni 2.39-2.42, 1 Ga 2.67
Ga7 0.2867 0.2079 0.8675  2 Ni 2.39-2.42, 1 Ga 2.67
Ga8 0.2969 0.6295 0.9062  6 Ga 2.69-2.96, 2 Ni 2.75-2.98
Ga9 0.3389 0.4439 0.2399  2 Ni 2.46-2.49, 4 Ga 2.67-2.69
Ga10 0.3705 0.7031 0.5938  6 Ga 2.69-2.96, 2 Ni 2.75-2.98
Ga11 0.4380 0.9928 0.3154  2 Ni 2.47-2.52, 1 Ga 2.75
Ga12 0.4439 0.3389 0.7399  2 Ni 2.46-2.49, 4 Ga 2.67-2.69
Ga13 0.5000 0.0000 0.0000  2 Ni 2.47, 2 Ga 2.68
Ga14 0.5561 0.6611 0.2601  2 Ni 2.46-2.49, 4 Ga 2.67-2.69
Ga15 0.5620 0.0072 0.6846  2 Ni 2.47-2.52, 1 Ga 2.75
Ga16 0.6295 0.2969 0.4062  6 Ga 2.69-2.96, 2 Ni 2.75-2.98
Ga17 0.6611 0.5561 0.7601  2 Ni 2.46-2.49, 4 Ga 2.67-2.69
Ga18 0.7031 0.3705 0.0938  6 Ga 2.69-2.96, 2 Ni 2.75-2.98
Ga19 0.7133 0.7921 0.1325  2 Ni 2.39-2.42, 1 Ga 2.67
Ga20 0.7921 0.7133 0.6325  2 Ni 2.39-2.42, 1 Ga 2.67
Ga21 0.8559 0.1441 0.2500  2 Ni 2.48, 2 Ga 2.76
Ga22 0.8605 0.0614 0.5448  2 Ni 2.46-2.52
Ga23 0.9386 0.1395 0.9552  2 Ni 2.46-2.52
Ga24 0.9928 0.4380 0.8154  2 Ni 2.47-2.52, 1 Ga 2.75
Ni1 0.1192 0.2638 0.5883  7 Ga 2.39-2.52
Ni2 0.2638 0.1192 0.0883  7 Ga 2.39-2.52
Ni3 0.2701 0.7299 0.2500  6 Ga 2.46-2.52
Ni4 0.7299 0.2701 0.7500  6 Ga 2.46-2.52
Ni5 0.7362 0.8808 0.9117  7 Ga 2.39-2.52
Ni6 0.8808 0.7362 0.4117  7 Ga 2.39-2.52

Stability summary - winner: model b; margin: 14 meV per atom.

Model a:
# NpGa3Ni

A geometry-optimized NpGa3Ni structure (PBE-GGA, Alexandria via LeMat-Bulk).

Properties
D(E_F): 0.94 states/eV/atom
density: 10.3 g/cm³

a b c (Å): 7.9364 3.6501 11.2204
angles (deg): 90.00 90.00 90.00
Closest atoms and distances in Å follow each position.
Sites, in units of the cell vectors:
Np1 0.1017 0.2500 0.0000  2 Np 2.44
Np2 0.3983 0.7500 0.5000  2 Np 2.44
Np3 0.6017 0.2500 0.5000  2 Np 2.44
Np4 0.8983 0.7500 0.0000  2 Np 2.44
Ga1 0.0776 0.2500 0.4240  3 Ni 2.40-2.49
Ga2 0.1118 0.7500 0.2246  2 Ni 2.36-2.41
Ga3 0.1420 0.7500 0.7811  2 Ni 2.46, 5 Ga 2.72-2.75
Ga4 0.3580 0.2500 0.2811  2 Ni 2.46, 5 Ga 2.72-2.75
Ga5 0.3882 0.2500 0.7246  2 Ni 2.36-2.41
Ga6 0.4224 0.7500 0.9240  3 Ni 2.40-2.49
Ga7 0.5776 0.2500 0.0760  3 Ni 2.40-2.49
Ga8 0.6118 0.7500 0.2754  2 Ni 2.36-2.41
Ga9 0.6420 0.7500 0.7189  2 Ni 2.46, 5 Ga 2.72-2.75
Ga10 0.8580 0.2500 0.2189  2 Ni 2.46, 5 Ga 2.72-2.75
Ga11 0.8882 0.2500 0.7754  2 Ni 2.36-2.41
Ga12 0.9224 0.7500 0.5760  3 Ni 2.40-2.49
Ni1 0.1187 0.2500 0.6356  7 Ga 2.36-2.49
Ni2 0.3813 0.7500 0.1356  7 Ga 2.36-2.49
Ni3 0.6187 0.2500 0.8644  7 Ga 2.36-2.49
Ni4 0.8813 0.7500 0.3644  7 Ga 2.36-2.49

Model b:
# NpGa3Ni

A geometry-optimized NpGa3Ni structure (PBE-GGA, Alexandria via LeMat-Bulk).

Properties
D(E_F): 2.26 states/eV/atom
density: 9.4 g/cm³

a b c (Å): 4.1712 4.1712 10.2236
angles (deg): 90.00 90.00 90.00
Closest atoms and distances in Å follow each position.
Sites, in units of the cell vectors:
Np1 0.0000 0.0000 0.0000  12 Ga 3.08-3.31, 4 Ni 3.28
Np2 0.5000 0.5000 0.5000  12 Ga 3.08-3.31, 4 Ni 3.28
Ga1 0.0000 0.0000 0.4148  1 Ni 2.30
Ga2 0.0000 0.5000 0.2517  2 Ni 2.38
Ga3 0.0000 0.5000 0.7517  2 Ni 2.38
Ga4 0.5000 0.0000 0.2517  2 Ni 2.38
Ga5 0.5000 0.0000 0.7517  2 Ni 2.38
Ga6 0.5000 0.5000 0.9148  1 Ni 2.30
Ni1 0.0000 0.0000 0.6398  5 Ga 2.30-2.38
Ni2 0.5000 0.5000 0.1398  5 Ga 2.30-2.38

Stability summary - winner: model a; margin: 11 meV per atom.